# 1
## PuGa2Pt (meta-GGA SCAN)

Data for PuGa2Pt at its PBEsol-relaxed geometry.

a = 5.4241 Å, b = 5.4241 Å, c = 6.5937 Å
α = 90.00°, β = 90.00°, γ = 132.09°
Last column: nearest neighbours and their distance in Å.
Element x y z (fractional)
Pu1 0.0886 0.9114 0.7500  3 Pt 2.87-3.03, 6 Ga 3.00-3.10
Pu2 0.9114 0.0886 0.2500  3 Pt 2.87-3.03, 6 Ga 3.00-3.10
Ga1 0.3724 0.6276 0.5532  2 Ga 2.60-2.62, 3 Pt 2.62-2.66
Ga2 0.3724 0.6276 0.9468  2 Ga 2.60-2.62, 3 Pt 2.62-2.66
Ga3 0.6276 0.3724 0.0532  2 Ga 2.60-2.62, 3 Pt 2.62-2.66
Ga4 0.6276 0.3724 0.4468  2 Ga 2.60-2.62, 3 Pt 2.62-2.66
Pt1 0.2009 0.7991 0.2500  6 Ga 2.62-2.66, 1 Pu 2.87
Pt2 0.7991 0.2009 0.7500  6 Ga 2.62-2.66, 1 Pu 2.87

Summary:
electronic total energy: -53.90 eV/atom

=====

# 2
## Be2CuRh (meta-GGA SCAN)

Data for Be2CuRh at its PBEsol-relaxed geometry.

a = 3.8280 Å, b = 3.8280 Å, c = 3.8280 Å
α = 60.00°, β = 60.00°, γ = 60.00°
Last column: nearest neighbours and their distance in Å.
Element x y z (fractional)
Be1 0.2500 0.2500 0.2500  4 Rh 2.34, 4 Cu 2.34
Be2 0.7500 0.7500 0.7500  4 Cu 2.34, 4 Rh 2.34
Cu1 0.0000 0.0000 0.0000  8 Be 2.34
Rh1 0.5000 0.5000 0.5000  8 Be 2.34

Summary:
electronic total energy: -14.99 eV/atom

=====

# 3
## MnCo6Mo (meta-GGA SCAN)

Data for MnCo6Mo at its PBEsol-relaxed geometry.

a = 6.0478 Å, b = 6.0478 Å, c = 9.8807 Å
α = 90.00°, β = 90.00°, γ = 109.59°
Last column: nearest neighbours and their distance in Å.
Element x y z (fractional)
Mn1 0.0000 0.0000 0.2461  12 Co 2.43-2.51
Mn2 0.0000 0.0000 0.7539  12 Co 2.43-2.51
Mn3 0.2547 0.7453 0.0000  12 Co 2.42-2.52
Mn4 0.7453 0.2547 0.0000  12 Co 2.42-2.52
Co1 0.0000 0.0000 0.0000  4 Mn 2.43-2.52, 8 Co 2.45
Co2 0.0000 0.0000 0.5000  8 Co 2.46, 2 Mo 2.50, 2 Mn 2.51
Co3 0.1209 0.3725 0.1230  8 Co 2.43-2.49, 3 Mn 2.45-2.46, 1 Mo 2.49
Co4 0.1209 0.3725 0.8770  8 Co 2.43-2.49, 3 Mn 2.45-2.46, 1 Mo 2.49
Co5 0.1226 0.3708 0.3733  8 Co 2.45-2.51, 1 Mn 2.46, 3 Mo 2.48
Co6 0.1226 0.3708 0.6267  8 Co 2.45-2.51, 1 Mn 2.46, 3 Mo 2.48
Co7 0.2482 0.7518 0.2466  8 Co 2.43-2.51, 2 Mn 2.44-2.45, 2 Mo 2.49-2.50
Co8 0.2482 0.7518 0.7534  8 Co 2.43-2.51, 2 Mn 2.44-2.45, 2 Mo 2.49-2.50
Co9 0.3708 0.1226 0.3733  8 Co 2.45-2.51, 1 Mn 2.46, 3 Mo 2.48
Co10 0.3708 0.1226 0.6267  8 Co 2.45-2.51, 1 Mn 2.46, 3 Mo 2.48
Co11 0.3725 0.1209 0.1230  8 Co 2.43-2.49, 3 Mn 2.45-2.46, 1 Mo 2.49
Co12 0.3725 0.1209 0.8770  8 Co 2.43-2.49, 3 Mn 2.45-2.46, 1 Mo 2.49
Co13 0.5000 0.5000 0.0000  2 Mn 2.42, 2 Mo 2.45, 8 Co 2.48
Co14 0.5000 0.5000 0.5000  4 Mo 2.44-2.49, 8 Co 2.49
Co15 0.6275 0.8791 0.1230  8 Co 2.43-2.49, 3 Mn 2.45-2.46, 1 Mo 2.49
Co16 0.6275 0.8791 0.8770  8 Co 2.43-2.49, 3 Mn 2.45-2.46, 1 Mo 2.49
Co17 0.6292 0.8774 0.3733  8 Co 2.45-2.51, 1 Mn 2.46, 3 Mo 2.48
Co18 0.6292 0.8774 0.6267  8 Co 2.45-2.51, 1 Mn 2.46, 3 Mo 2.48
Co19 0.7518 0.2482 0.2466  8 Co 2.43-2.51, 2 Mn 2.44-2.45, 2 Mo 2.49-2.50
Co20 0.7518 0.2482 0.7534  8 Co 2.43-2.51, 2 Mn 2.44-2.45, 2 Mo 2.49-2.50
Co21 0.8774 0.6292 0.3733  8 Co 2.45-2.51, 1 Mn 2.46, 3 Mo 2.48
Co22 0.8774 0.6292 0.6267  8 Co 2.45-2.51, 1 Mn 2.46, 3 Mo 2.48
Co23 0.8791 0.6275 0.1230  8 Co 2.43-2.49, 3 Mn 2.45-2.46, 1 Mo 2.49
Co24 0.8791 0.6275 0.8770  8 Co 2.43-2.49, 3 Mn 2.45-2.46, 1 Mo 2.49
Mo1 0.2533 0.7467 0.5000  12 Co 2.44-2.50
Mo2 0.5000 0.5000 0.2478  12 Co 2.45-2.49
Mo3 0.5000 0.5000 0.7522  12 Co 2.45-2.49
Mo4 0.7467 0.2533 0.5000  12 Co 2.44-2.50

Summary:
electronic total energy: -19.47 eV/atom

=====

# 4
## ZnFeCu2 (meta-GGA SCAN)

Data for ZnFeCu2 at its PBEsol-relaxed geometry.

a = 2.5536 Å, b = 2.5536 Å, c = 7.1686 Å
α = 90.00°, β = 90.00°, γ = 90.00°
Last column: nearest neighbours and their distance in Å.
Element x y z (fractional)
Zn1 0.0000 0.0000 0.0000  4 Zn 2.55, 4 Fe 2.57, 4 Cu 2.57
Fe1 0.5000 0.5000 0.7444  4 Cu 2.51, 4 Fe 2.55, 4 Zn 2.57
Cu1 0.0000 0.0000 0.5003  4 Fe 2.51, 8 Cu 2.52-2.55
Cu2 0.5000 0.5000 0.2559  8 Cu 2.52-2.55, 4 Zn 2.57

Summary:
electronic total energy: -15.52 eV/atom

=====

# 5
## YCoNi3 (meta-GGA SCAN)

Data for YCoNi3 at its PBEsol-relaxed geometry.

a = 4.2770 Å, b = 4.2770 Å, c = 4.2770 Å
α = 90.00°, β = 90.00°, γ = 90.00°
Last column: nearest neighbours and their distance in Å.
Element x y z (fractional)
Y1 0.0000 0.0000 0.0000  12 Ni 3.02
Co1 0.5000 0.5000 0.5000  6 Ni 2.14
Ni1 0.0000 0.5000 0.5000  2 Co 2.14
Ni2 0.5000 0.0000 0.5000  2 Co 2.14
Ni3 0.5000 0.5000 0.0000  2 Co 2.14

Summary:
electronic total energy: -18.50 eV/atom

=====

# 6
## AlSe2N (meta-GGA SCAN)

Data for AlSe2N at its PBEsol-relaxed geometry.

a = 4.3951 Å, b = 4.3951 Å, c = 4.3951 Å
α = 60.00°, β = 60.00°, γ = 60.00°
Last column: nearest neighbours and their distance in Å.
Element x y z (fractional)
Al1 0.0000 0.0000 0.0000  8 Se 2.69
Se1 0.2500 0.2500 0.2500  4 Al 2.69, 4 N 2.69
Se2 0.7500 0.7500 0.7500  4 Al 2.69, 4 N 2.69
N1 0.5000 0.5000 0.5000  8 Se 2.69

Summary:
electronic total energy: -13.21 eV/atom
formation energy (no corrections): 1.089 eV/atom